The following is a DFT calculation (meta-GGA SCAN) of Mg3SnH at its PBEsol-relaxed geometry.

Values from the calculation:
Crystal system = cubic
Space group = Pm-3m, No. 221
Total moment = 0.00 μB/atom
DOS(E_F) = 0.9 states/eV/f.u.
Calculated total energy = -0.80676 Ry per atom

abc: 4.4357 4.4357 4.4357
angles: 90.00 90.00 90.00
Closest atoms and distances in Å follow each position.
Atoms (fractional coordinates):
Mg: 0.0000 0.0000 0.5000  2 H 2.22
Mg: 0.0000 0.5000 0.0000  2 H 2.22
Mg: 0.5000 0.0000 0.0000  2 H 2.22
Sn: 0.5000 0.5000 0.5000  12 Mg 3.14
H: 0.0000 0.0000 0.0000  6 Mg 2.22

---

The following is a DFT calculation (meta-GGA SCAN) of Sr2MgH2 at its PBEsol-relaxed geometry.

Values from the calculation:
Crystal system = tetragonal
Space group = I4/mmm, No. 139
Total moment = 0.12 μB/atom
DOS(E_F) = 2.4 states/eV/f.u.
Calculated total energy = -0.85680 Ry per atom

abc: 7.6135 7.6135 7.6135
angles: 148.48 148.48 45.17
Closest atoms and distances in Å follow each position.
Atoms (fractional coordinates):
Sr: 0.1575 0.1575 0.0000  4 H 2.44
Sr: 0.8425 0.8425 0.0000  4 H 2.44
Mg: 0.5000 0.5000 0.0000  8 Sr 3.67, 8 H 4.08
H: 0.2500 0.7500 0.5000  4 Sr 2.44
H: 0.7500 0.2500 0.5000  4 Sr 2.44

---

The following is a DFT calculation (meta-GGA SCAN) of Sr2Mg3H10 at its PBEsol-relaxed geometry.

Values from the calculation:
Crystal system = monoclinic
Space group = C2/m, No. 12
Total moment = 0.00 μB/atom
DOS(E_F) = 0.0 states/eV/f.u.
Calculated total energy = -0.49365 Ry per atom

abc: 9.1351 9.1351 7.3202
angles: 110.05 110.05 36.00
Closest atoms and distances in Å follow each position.
Atoms (fractional coordinates):
Sr: 0.1163 0.1163 0.2216  8 H 2.52-2.60
Sr: 0.2212 0.2212 0.8148  8 H 2.44-2.69
Sr: 0.7788 0.7788 0.1852  8 H 2.44-2.69
Sr: 0.8837 0.8837 0.7784  8 H 2.52-2.60
Mg: 0.2411 0.7589 0.5000  6 H 1.90-1.92
Mg: 0.3261 0.3261 0.4771  6 H 1.89-1.98
Mg: 0.4249 0.4249 0.0529  6 H 1.87-2.03
Mg: 0.5751 0.5751 0.9471  6 H 1.87-2.03
Mg: 0.6739 0.6739 0.5229  6 H 1.89-1.98
Mg: 0.7589 0.2411 0.5000  6 H 1.90-1.92
H: 0.0000 0.5000 0.5000  2 Mg 1.98
H: 0.0157 0.0157 0.6952  2 Mg 1.92
H: 0.0993 0.5920 0.0167  1 Mg 1.91
H: 0.1071 0.6641 0.4691  2 Mg 1.89-1.92
H: 0.2614 0.2614 0.2050  1 Mg 1.90
H: 0.2650 0.7350 0.0000  2 Mg 1.99
H: 0.3359 0.8929 0.5309  2 Mg 1.89-1.92
H: 0.3652 0.3652 0.7574  2 Mg 1.91-2.03
H: 0.4080 0.9007 0.9833  1 Mg 1.91
H: 0.4819 0.4819 0.3236  3 Mg 1.87-1.90
H: 0.5000 0.0000 0.5000  2 Mg 1.98
H: 0.5181 0.5181 0.6764  3 Mg 1.87-1.90
H: 0.5920 0.0993 0.0167  1 Mg 1.91
H: 0.6348 0.6348 0.2426  2 Mg 1.91-2.03
H: 0.6641 0.1071 0.4691  2 Mg 1.89-1.92
H: 0.7350 0.2650 0.0000  2 Mg 1.99
H: 0.7386 0.7386 0.7950  1 Mg 1.90
H: 0.8929 0.3359 0.5309  2 Mg 1.89-1.92
H: 0.9007 0.4080 0.9833  1 Mg 1.91
H: 0.9843 0.9843 0.3048  2 Mg 1.92